Record 1
Below is a geometry-optimized HgB2PtPb structure, with properties calculated at the PBE level.

- DFT formation energy: 570.9 meV per atom

Cell and atoms, written as POSCAR:
```
HgB2PtPb
1.0
4.150 0.000 0.000
0.000 6.114 0.000
0.000 0.000 4.150
Pb B Hg Pt
1 2 1 1
Cartesian
0.000 3.057 0.000
0.000 0.000 2.075
2.075 0.000 0.000
2.075 3.057 2.075
0.000 0.000 0.000
```

***

Record 2
Below is a geometry-optimized UFeRuPt structure, with properties calculated at the PBE level.

- DFT formation energy: -448.1 meV per atom

Cell and atoms, written as POSCAR:
```
UFeRuPt
1.0
3.844 0.000 0.000
0.000 3.977 0.000
0.000 0.000 4.202
U Fe Ru Pt
1 1 1 1
Cartesian
0.000 1.989 2.101
1.922 1.989 0.000
1.922 0.000 2.101
0.000 0.000 0.000
```

***

Record 3
Below is a geometry-optimized HoSc4Pb structure, with properties calculated at the PBE level.

- DFT formation energy: -125.9 meV per atom

Cell and atoms, written as POSCAR:
```
HoSc4Pb
1.0
3.451 0.000 0.000
0.000 9.499 0.000
-1.725 0.000 9.447
Ho Sc Pb
2 8 2
Cartesian
0.000 2.375 1.908
1.725 7.124 7.539
1.725 4.749 0.000
1.725 0.000 0.000
1.725 9.220 3.221
0.000 0.279 6.226
0.000 4.470 6.226
1.725 5.029 3.221
0.000 7.124 1.450
1.725 2.375 7.997
0.000 7.124 4.713
1.725 2.375 4.734
```

***

Record 4
Below is a geometry-optimized LaTc3F structure, with properties calculated at the PBE level.

- Polymorph energy (0 for the lowest one): 0 meV/atom
- Formation energy without anion corrections: 0.72 eV per atom

Cell and atoms, written as POSCAR:
```
LaTc3F
1.0
4.438 0.000 0.000
0.000 4.438 0.000
0.000 0.000 4.438
F Tc La
1 3 1
Cartesian
0.000 0.000 0.000
0.000 2.219 0.000
0.000 0.000 2.219
2.219 0.000 0.000
2.219 2.219 2.219
```

***

Record 5
Below is a geometry-optimized Dy3YIn3 structure, with properties calculated at the PBE level.

- Polymorph energy (0 for the lowest one): 23 meV/atom
- DFT formation energy: -322.6 meV per atom

Cell and atoms, written as POSCAR:
```
Dy3YIn3
1.0
9.318 0.000 0.000
0.000 9.318 0.000
0.000 0.000 9.318
Dy Y In
12 4 12
Cartesian
7.685 3.026 1.633
8.615 8.615 8.615
7.686 6.291 3.027
1.633 7.685 3.026
1.632 1.632 1.632
3.027 7.686 6.291
0.703 3.956 5.361
3.026 1.633 7.685
6.291 3.027 7.686
6.291 6.291 6.291
5.361 0.703 3.956
3.956 5.361 0.703
0.682 5.341 8.635
8.635 0.682 5.341
3.976 3.976 3.976
5.341 8.635 0.682
6.975 5.829 0.004
8.148 9.313 2.316
0.004 6.975 5.829
1.170 4.655 2.343
2.343 1.170 4.655
2.316 8.148 9.313
9.313 2.316 8.148
3.489 4.663 7.002
4.655 2.343 1.170
5.829 0.004 6.975
7.002 3.489 4.663
4.663 7.002 3.489
```

***

Record 6
Below is a geometry-optimized H2Br2Cl structure, with properties calculated at the PBE level.

Cell and atoms, written as POSCAR:
```
H2Br2Cl
1.0
-0.128 2.398 -3.653
-4.438 -0.553 -0.207
-2.713 5.661 3.811
H Br Cl
2 2 1
Cartesian
-3.501 5.089 2.416
-3.626 2.447 -1.929
-4.879 3.810 1.626
-2.693 3.379 -1.350
-7.009 5.397 2.742
```

***

Record 7
Below is a geometry-optimized Th3CoBiC structure, with properties calculated at the PBE level.

- DFT formation energy: -385.7 meV per atom

Cell and atoms, written as POSCAR:
```
Th3CoBiC
1.0
-0.946 -2.489 2.877
8.552 -0.548 2.337
-4.150 6.761 4.485
Th Co Bi C
6 2 2 2
Cartesian
4.097 2.060 4.464
5.941 -1.061 5.040
2.582 -1.173 3.840
-0.641 1.664 5.235
0.874 4.897 5.859
-2.484 4.785 4.659
-1.601 2.314 2.811
5.058 1.410 6.888
2.973 3.022 7.598
0.483 0.702 2.101
4.703 0.094 2.963
-1.247 3.630 6.736
```

***

Record 8
Below is a geometry-optimized MgNi2Cl structure, with properties calculated at the PBE level.

- Polymorph energy (0 for the lowest one): 166 meV/atom
- Formation energy without anion corrections: 0.00 eV per atom

Cell and atoms, written as POSCAR:
```
MgNi2Cl
1.0
-2.858 2.299 -1.022
-2.027 -1.981 1.213
0.341 2.401 4.444
Cl Mg Ni
1 1 2
Cartesian
-1.850 1.254 0.903
-2.693 1.464 3.732
-0.172 1.871 4.689
-0.329 0.739 2.583
```

***

Record 9
Below is a geometry-optimized PuCuPdPt structure, with properties calculated at the PBE level.

- DFT formation energy: -364.2 meV per atom

Cell and atoms, written as POSCAR:
```
PuCuPdPt
1.0
-1.149 -0.526 -4.495
-2.873 -3.448 -1.287
-4.334 0.984 -1.433
Cu Pd Pt Pu
1 1 1 1
Cartesian
-4.178 -1.495 -3.608
-6.267 -2.243 -5.412
-2.089 -0.748 -1.804
0.000 0.000 0.000
```

***

Record 10
Below is a geometry-optimized PmPr2Y4Tm2 structure, with properties calculated at the PBE level.

- DFT formation energy: 77.6 meV per atom

Cell and atoms, written as POSCAR:
```
PmPr2Y4Tm2
1.0
6.296 2.514 0.890
1.415 9.674 2.317
-3.291 -4.086 4.091
Pm Pr Y Tm
1 2 4 2
Cartesian
0.000 0.000 0.000
0.638 4.550 4.215
3.782 3.551 3.082
5.254 9.582 3.536
3.281 6.827 4.372
-0.834 -1.481 3.762
1.139 1.274 2.925
5.682 6.248 1.911
-1.262 1.853 5.386
```

***

Record 11
Below is a geometry-optimized PmTlInSe3 structure, with properties calculated at the PBE level.

- Formation energy without anion corrections: -0.92 eV per atom

Cell and atoms, written as POSCAR:
```
PmTlInSe3
1.0
4.720 0.000 0.000
0.000 8.692 0.008
0.000 -2.302 9.603
Pm Tl In Se
2 2 2 6
Cartesian
1.180 5.502 1.301
3.540 0.888 8.310
1.180 1.319 2.071
3.540 5.071 7.540
1.180 -0.425 5.716
3.540 6.815 3.895
3.540 7.456 1.271
1.180 -1.066 8.340
1.180 5.603 4.405
3.540 0.788 5.206
3.540 3.629 1.539
1.180 2.761 8.071
```

***

Record 12
Below is a geometry-optimized Cs3GaO structure, with properties calculated at the PBE level.

- Formation energy without anion corrections: -0.32 eV per atom

Cell and atoms, written as POSCAR:
```
Cs3GaO
1.0
-0.722 2.987 -5.152
-5.825 -1.432 -0.014
-1.237 5.001 3.073
Cs O Ga
3 1 1
Cartesian
-2.913 -0.716 -0.007
-0.618 2.500 1.536
-0.361 1.493 -2.576
0.000 0.000 0.000
-3.892 3.278 -1.047
```

***

It is found that the E_tot values, taken in the order of the records, are -20.55; -36.86; -34.37; -34.30; -30.74; -12.39; -44.78; -15.02; -31.12; -48.41; -25.85; -12.16 eV/f.u..